Material: HoTiAg2
Method: DFT, PBE
State: relaxed

Space group: P4/mmm (123)
Calculated density: 8.6 g/cm³
Electronic total energy: -4.59 eV per atom
Crystal system: tetragonal

```
HoTiAg2
1.0
3.464 0.000 0.000
0.000 3.464 0.000
0.000 0.000 6.867
Ag Ti Ho
2 1 1
Direct
0.000 0.000 0.221
0.000 0.000 0.779
0.500 0.500 0.000
0.500 0.500 0.500
```

Material: Sc5SiSe5
Method: DFT, PBE
State: relaxed

Space group: C2/m (12)
Formation energy (no corrections): -1539 meV/atom
Calculated density: 4.4 g/cm³
Electronic total energy: -6.49 eV per atom
Crystal system: monoclinic

```
Sc5SiSe5
1.0
-1.869 4.029 -3.160
5.488 -3.001 -2.372
-5.977 -4.381 -2.051
Sc Se Si
5 5 1
Direct
0.839 0.678 0.671
0.160 0.319 0.831
0.840 0.681 0.169
0.161 0.322 0.329
0.500 0.000 0.000
0.669 0.338 0.335
0.331 0.663 0.166
0.000 0.000 0.500
0.669 0.337 0.834
0.331 0.662 0.665
0.000 0.000 0.000
```

Material: Na2TlAg3I6
Method: DFT, PBE
State: relaxed

Space group: C2/m (12)
Formation energy (no corrections): -601 meV/atom
Calculated density: 5.1 g/cm³
Electronic total energy: -2.51 eV per atom
Crystal system: monoclinic

```
Na2TlAg3I6
1.0
4.718 0.000 0.000
0.000 10.143 0.684
-2.359 -2.554 8.918
I Tl Na Ag
6 1 2 3
Direct
0.345 0.458 0.690
0.311 0.878 0.623
0.689 0.122 0.377
0.984 0.255 0.968
0.016 0.745 0.032
0.655 0.542 0.310
0.500 0.000 0.000
0.165 0.311 0.330
0.835 0.689 0.670
0.500 0.500 0.000
0.833 0.266 0.666
0.167 0.734 0.334
```

Q: Which formula does entry 1 have?
A: HoTiAg2

Repeat the third record exactly.
Material: Na2TlAg3I6
Method: DFT, PBE
State: relaxed

Space group: C2/m (12)
Formation energy (no corrections): -601 meV/atom
Calculated density: 5.1 g/cm³
Electronic total energy: -2.51 eV per atom
Crystal system: monoclinic

```
Na2TlAg3I6
1.0
4.718 0.000 0.000
0.000 10.143 0.684
-2.359 -2.554 8.918
I Tl Na Ag
6 1 2 3
Direct
0.345 0.458 0.690
0.311 0.878 0.623
0.689 0.122 0.377
0.984 0.255 0.968
0.016 0.745 0.032
0.655 0.542 0.310
0.500 0.000 0.000
0.165 0.311 0.330
0.835 0.689 0.670
0.500 0.500 0.000
0.833 0.266 0.666
0.167 0.734 0.334
```